(1)
! PBE Sc2HgCl, relaxed; values from VASP
&SYSTEM
  ibrav = 0, nat = 8, ntyp = 3
/
ATOMIC_SPECIES
Cl 35.45 Cl.upf
Sc 44.96 Sc.upf
Hg 200.59 Hg.upf
CELL_PARAMETERS angstrom
6.802 0.000 -0.008
0.000 3.375 0.000
-2.635 0.000 7.326
ATOMIC_POSITIONS angstrom
Cl 1.858 0.000 6.255
Cl -0.879 1.688 6.786
Sc -0.433 0.000 4.684
Sc 3.372 1.688 4.855
Sc 3.089 0.000 1.217
Sc 6.591 0.000 0.443
Hg 1.248 1.688 2.852
Hg 5.098 1.688 2.504
! - Raw total energy: -4.41 eV per atom
! - Raw formation energy: -705 meV per atom
! - Energy above the most stable polymorph in this dataset: 88 meV/atom

***

(2)
! PBE CsZn2HgF8, relaxed; values from VASP
&SYSTEM
  ibrav = 0, nat = 12, ntyp = 4
/
ATOMIC_SPECIES
Zn 65.41 Zn.upf
F 19.00 F.upf
Hg 200.59 Hg.upf
Cs 132.91 Cs.upf
CELL_PARAMETERS angstrom
5.482 0.000 0.000
2.741 4.748 0.000
2.741 1.583 8.785
ATOMIC_POSITIONS angstrom
Zn 8.224 4.748 6.454
Zn 2.741 1.583 2.331
F 2.741 1.583 0.457
F 4.661 1.629 5.862
F 4.563 1.686 2.923
F 7.223 3.109 2.923
F 7.223 3.222 5.862
F 4.661 4.701 2.923
F 4.563 4.645 5.862
F 8.224 4.748 8.328
Hg 5.482 3.165 4.393
Cs 0.000 0.000 0.000
! - Raw total energy: -3.48 eV per atom
! - Raw formation energy: -1921 meV per atom

***

(3)
! PBE AlSiMo, relaxed; values from VASP
&SYSTEM
  ibrav = 0, nat = 3, ntyp = 3
/
ATOMIC_SPECIES
Si 28.09 Si.upf
Al 26.98 Al.upf
Mo 95.94 Mo.upf
CELL_PARAMETERS angstrom
-0.043 -2.453 -3.298
3.534 -1.376 -1.584
1.014 -3.965 0.375
ATOMIC_POSITIONS angstrom
Si 3.379 -5.846 -3.379
Al 0.000 0.000 0.000
Mo 2.253 -3.897 -2.253
! - Raw total energy: -6.52 eV per atom
! - Raw formation energy: 148 meV per atom

***

(4)
! PBE LiCa2Si, relaxed; values from VASP
&SYSTEM
  ibrav = 0, nat = 8, ntyp = 3
/
ATOMIC_SPECIES
Si 28.09 Si.upf
Li 6.94 Li.upf
Ca 40.08 Ca.upf
CELL_PARAMETERS angstrom
4.825 0.000 0.000
0.000 4.825 0.000
2.413 2.413 10.043
ATOMIC_POSITIONS angstrom
Si 4.825 2.413 5.022
Si 0.000 0.000 0.000
Li 2.413 2.413 0.000
Li 2.413 4.825 5.022
Ca 1.103 3.619 2.511
Ca 6.031 6.134 7.532
Ca 3.619 3.516 7.532
Ca 3.722 1.206 2.511
! - Raw total energy: -2.57 eV per atom
! - Raw formation energy: 266 meV per atom

***

Record order is preserved below.
Total magnetization: 0.00; 1.13; 0.00; 0.00 μB per formula unit